[1]
NdNb2Ir2 GGA-PBE relaxed; DOS at the Fermi energy = 2.2 states/eV/cell; ΔE_f = -543 meV per atom; E = -9.069 eV/atom; size of the total moment = 0.00 μB/f.u.
1.0
4.483 0.000 0.000
0.000 4.483 0.000
-2.242 -2.242 5.270
Nd Nb Ir
1 2 2
Cartesian
0.000 0.000 0.000
2.242 0.000 2.635
0.000 2.242 2.635
0.000 0.000 3.942
2.242 2.242 1.328

---

[2]
Nd2NbSi3Ir4 GGA-PBE relaxed; DOS at the Fermi energy = 6.4 states/eV/cell; E = -8.065 eV/atom; size of the total moment = 0.00 μB/f.u.
1.0
-2.473 -2.116 2.604
3.098 -2.680 0.764
3.221 5.982 7.920
Ir Nd Si Nb
4 2 3 1
Cartesian
0.000 0.000 0.000
2.702 0.800 3.216
0.313 -2.398 1.684
0.832 2.784 6.388
3.993 3.198 6.391
-0.459 0.386 3.213
1.949 -0.597 1.366
1.584 4.181 8.238
1.610 2.991 3.960
1.923 0.593 5.644

---

[3]
NdTaNbIr2 GGA-PBE relaxed; DOS at the Fermi energy = 2.4 states/eV/cell; ΔE_f = -576 meV per atom; E = -9.458 eV/atom; size of the total moment = 0.00 μB/f.u.
1.0
4.472 0.000 0.000
0.000 4.472 0.000
-2.236 -2.236 5.290
Ir Nb Nd Ta
2 1 1 1
Cartesian
2.236 2.236 1.332
0.000 0.000 3.958
2.236 0.000 2.645
0.000 0.000 0.000
0.000 2.236 2.645

---

[4]
NbNiIr GGA-PBE relaxed; DOS at the Fermi energy = 8.9 states/eV/cell; ΔE_f = -384 meV per atom; E = -8.621 eV/atom; size of the total moment = 0.00 μB/f.u.
1.0
-2.085 1.922 -3.284
-2.273 0.532 1.754
5.585 12.136 3.557
Nb Ir Ni
4 4 4
Cartesian
4.675 10.159 2.977
2.417 8.479 0.561
-1.512 2.676 -0.340
0.746 4.356 2.076
2.213 10.770 2.032
-1.119 0.303 0.888
2.810 6.105 1.789
0.557 4.436 -0.624
0.373 6.773 0.861
0.944 2.051 0.601
2.600 8.385 3.257
4.302 12.575 1.762